{
  "formula": "CrInFe",
  "functional": "PBE",
  "state": "optimized geometry",
  "lattice": [[-1.822, -5.292, 0.141], [0.074, -5.090, 2.331], [-2.195, 0.010, 1.900]],
  "species": ["Cr", "Fe", "In"],
  "frac_coords": [[0.974, 0.974, 0.026], [0.358, 0.358, 0.642], [0.668, 0.669, 0.332]],
  "crystal_system": "tetragonal",
  "final_energy_ev_per_atom": -6.6640,
  "density_g_cm3": 8.4,
  "sg": "I4mm (107)"
}



{
  "formula": "Ga2NiIr2",
  "functional": "PBE",
  "state": "optimized geometry",
  "lattice": [[-6.503, -1.877, -2.039], [0.805, -6.255, 3.193], [-1.113, 1.135, 2.504]],
  "species": ["Ir", "Ga", "Ga", "Ir", "Ni", "Ga", "Ir", "Ir", "Ni", "Ga"],
  "frac_coords": [[0.357, 0.857, 0.000], [0.158, 0.658, 0.500], [0.842, 0.342, 0.500], [0.143, 0.357, 0.000], [0.000, 0.000, 0.000], [0.658, 0.842, 0.500], [0.643, 0.143, 0.000], [0.857, 0.643, 0.000], [0.500, 0.500, 0.000], [0.342, 0.158, 0.500]],
  "crystal_system": "tetragonal",
  "final_energy_ev_per_atom": -6.0537,
  "density_g_cm3": 13.1,
  "polymorph_energy_ev_per_atom": 0.000,
  "sg": "P4/mbm (127)"
}



{
  "formula": "Pr4CdSn2",
  "functional": "PBE",
  "state": "optimized geometry",
  "lattice": [[5.304, 0.000, 0.000], [2.652, 4.594, 0.000], [2.652, 1.531, 9.885]],
  "species": ["Sn", "Pr", "Sn", "Pr", "Pr", "Cd", "Pr"],
  "frac_coords": [[0.097, 0.097, 0.709], [0.209, 0.209, 0.373], [0.903, 0.903, 0.291], [0.623, 0.623, 0.132], [0.377, 0.377, 0.868], [0.000, 0.000, 0.000], [0.791, 0.791, 0.627]],
  "crystal_system": "trigonal",
  "final_energy_ev_per_atom": -4.3412,
  "density_g_cm3": 6.3,
  "sg": "R-3m (166)"
}